1.
Cd4GaAgPd2, relaxed, DFT PBE; space-group type = P4/mmm; total energy = -2.4632 eV/atom
1.0
3.987 0.000 0.000
0.000 3.987 0.000
0.000 0.000 10.801
Cd Ga Ag Pd
4 1 1 2
Cartesian
0.000 1.994 2.142
0.000 1.994 8.659
1.994 0.000 2.142
1.994 0.000 8.659
0.000 0.000 5.401
0.000 0.000 0.000
1.994 1.994 4.099
1.994 1.994 6.702

2.
PmCdGaAg, relaxed, DFT PBE; space-group type = F-43m; total energy = -3.2467 eV/atom
1.0
0.000 3.521 3.521
3.521 0.000 3.521
3.521 3.521 0.000
Pm Cd Ga Ag
1 1 1 1
Cartesian
0.000 0.000 0.000
3.521 3.521 3.521
5.281 5.281 5.281
1.760 1.760 1.760

3.
PmCdGa2Ag, relaxed, DFT PBE; space-group type = I-4m2; total energy = -3.3166 eV/atom
1.0
-2.169 2.169 5.641
2.169 -2.169 5.641
2.169 2.169 -5.641
Pm Cd Ga Ag
1 1 2 1
Cartesian
0.000 0.000 0.000
2.169 0.000 2.821
0.000 0.000 4.431
0.000 0.000 6.852
0.000 2.169 2.821

4.
Pm4Cd2GaAg, relaxed, DFT PBE; space-group type = R-3m; total energy = -3.6929 eV/atom
1.0
2.657 1.534 8.735
-2.657 1.534 8.735
0.000 -3.068 8.735
Pm Cd Ga Ag
4 2 1 1
Cartesian
0.000 0.000 3.223
0.000 0.000 9.776
0.000 0.000 16.429
0.000 0.000 22.982
0.000 0.000 6.525
0.000 0.000 19.680
0.000 0.000 0.000
0.000 0.000 13.102

5.
PrCdGa2Ag, relaxed, DFT PBE; space-group type = I-4m2; total energy = -3.3329 eV/atom
1.0
-2.197 2.197 5.614
2.197 -2.197 5.614
2.197 2.197 -5.614
Pr Cd Ga Ag
1 1 2 1
Cartesian
0.000 0.000 0.000
2.197 0.000 2.807
0.000 0.000 4.395
0.000 0.000 6.832
0.000 2.197 2.807

6.
Pr4Cd2GaAg, relaxed, DFT PBE; space-group type = R-3m; total energy = -3.6959 eV/atom
1.0
2.695 1.556 8.851
-2.695 1.556 8.851
0.000 -3.112 8.851
Pr Cd Ga Ag
4 2 1 1
Cartesian
0.000 0.000 3.269
0.000 0.000 9.912
0.000 0.000 16.640
0.000 0.000 23.283
0.000 0.000 6.611
0.000 0.000 19.941
0.000 0.000 0.000
0.000 0.000 13.276

Computed energy of formation from the pure elements, in the same sequence as the records: 0.027, -0.361, -0.402, -0.354, -0.413, -0.343 eV/atom.